Entry 1:
# PrNdIr2C2N2

An optimized crystal structure of PrNdIr2C2N2 (PBE, the Open Quantum Materials Database).

abc: 3.7886 3.7886 7.5395
angles: 90.00 90.00 90.00
Closest atoms and distances in Å follow each position.
Space group P4mm (No. 99)
Symmetry-distinct sites (fractional):
Pr 0.0000 0.0000 0.0000  5 N 2.49-2.68
Nd 0.5000 0.5000 0.6607  5 N 2.49-2.68
Ir 0.0000 0.5000 0.3315  4 C 2.22-2.23
C 0.0000 0.0000 0.4854  1 N 1.39
C 0.5000 0.5000 0.1744  1 N 1.39
N 0.0000 0.0000 0.6694  1 C 1.39
N 0.5000 0.5000 0.9906  1 C 1.39

Calculated values
Magnetic moment, μB per atom: 0.00
Total energy, eV per atom: -8.256


Entry 2:
# Ac3CdPd8

An optimized crystal structure of Ac3CdPd8 (PBE, the Open Quantum Materials Database).

abc: 5.6203 5.6203 27.5450
angles: 90.00 90.00 120.00
Closest atoms and distances in Å follow each position.
Space group R3m (No. 160, hexagonal axes)
Symmetry-distinct sites (fractional):
Ac 0.0000 0.0000 0.0000  12 Pd 3.26-3.34, 4 Ac 3.57-3.58
Ac 0.0000 0.0000 0.1297  12 Pd 3.14-3.40, 3 Cd 3.32
Ac 0.0000 0.0000 0.6114  9 Pd 3.14-3.36, 1 Cd 3.40
Cd 0.0000 0.0000 0.4879  6 Pd 3.07-3.26, 4 Ac 3.32-3.40
Pd 0.0000 0.0000 0.3101  6 Pd 2.81-2.82
Pd 0.0000 0.0000 0.8104  6 Pd 2.80-2.82
Pd 0.9996 0.4998 0.0601  6 Pd 2.81-2.82, 1 Cd 3.07
Pd 0.0031 0.5016 0.5602  6 Pd 2.78-2.84

Calculated values
Magnetic moment, μB per atom: 0.00
Total energy, eV per atom: -5.282
E_form, eV per formula unit: -8.773


Entry 3:
# Cu124Pb

An optimized crystal structure of Cu124Pb (PBE, the Open Quantum Materials Database).

abc: 18.0692 18.0692 18.0692
angles: 90.00 90.00 90.00
Closest atoms and distances in Å follow each position.
Space group Fm-3m (No. 225)
Symmetry-distinct sites (fractional):
Cu 0.0000 0.0000 0.1000  12 Cu 2.55-2.56
Cu 0.0000 0.0000 0.2991  12 Cu 2.55-2.57
Cu 0.0000 0.1001 0.1998  12 Cu 2.55-2.56
Cu 0.0000 0.1047 0.3953  11 Cu 2.47-2.67, 1 Pb 2.67
Cu 0.0000 0.2013 0.2987  12 Cu 2.47-2.57
Cu 0.1000 0.1000 0.1000  12 Cu 2.55-2.56
Cu 0.1002 0.2000 0.2000  12 Cu 2.53-2.56
Cu 0.1006 0.1006 0.2988  12 Cu 2.52-2.57
Cu 0.2002 0.2002 0.2998  12 Cu 2.54-2.55
Pb 0.0000 0.0000 0.5000  12 Cu 2.67

Calculated values
Total energy, eV per atom: -3.705


Entry 4:
# LaSmZn2Pb2

An optimized crystal structure of LaSmZn2Pb2 (PBE, the Open Quantum Materials Database).

abc: 4.6724 4.6724 16.7484
angles: 90.00 90.00 120.00
Closest atoms and distances in Å follow each position.
Space group P6_3/mmc (No. 194)
Symmetry-distinct sites (fractional):
La 0.0000 0.0000 0.0000  6 Pb 3.32
Sm 0.0000 0.0000 0.2500  6 Zn 3.04
Zn 0.3333 0.6667 0.1661  1 Zn 2.81, 3 Pb 2.83, 3 Sm 3.04
Pb 0.3333 0.6667 0.6152  3 Zn 2.83

Calculated values
Magnetic moment, μB per atom: 0.00
Total energy, eV per atom: -3.770


Entry 5:
# Lu6Co30P19

An optimized crystal structure of Lu6Co30P19 (PBE, the Open Quantum Materials Database).

abc: 14.5794 14.5794 3.5422
angles: 90.00 90.00 120.00
Closest atoms and distances in Å follow each position.
Space group P-6 (No. 174)
Symmetry-distinct sites (fractional):
Lu 0.0378 0.2740 0.0000  6 P 2.77-2.81, 7 Co 2.88-3.04
Lu 0.4306 0.3711 0.5000  6 P 2.77-2.79, 6 Co 2.88-2.90
Co 0.0592 0.4419 0.5000  4 P 2.22-2.28
Co 0.0680 0.8170 0.5000  4 P 2.21-2.28
Co 0.1068 0.7111 0.0000  4 P 2.21-2.29
Co 0.1087 0.0933 0.0000  5 P 2.25-2.36
Co 0.1987 0.6429 0.5000  3 P 2.23-2.41
Co 0.2030 0.5085 0.0000  4 P 2.13-2.25
Co 0.2593 0.1283 0.5000  4 P 2.22-2.30
Co 0.4070 0.2038 0.0000  4 P 2.21-2.29
Co 0.4852 0.0839 0.0000  4 P 2.21-2.28
Co 0.5582 0.2401 0.5000  5 P 2.24-2.36
P 0.0173 0.1187 0.5000  6 Co 2.21-2.36
P 0.0758 0.5463 0.0000  7 Co 2.18-2.41
P 0.1974 0.4103 0.5000  7 Co 2.22-2.29
P 0.2726 0.2350 0.0000  7 Co 2.22-2.30
P 0.3333 0.6667 0.0000  3 Co 2.13
P 0.3949 0.0990 0.5000  7 Co 2.22-2.29
P 0.5646 0.3491 0.0000  6 Co 2.21-2.36

Calculated values
Magnetic moment, μB per atom: 0.10
Total energy, eV per atom: -7.086


Entry 6:
# SmGeB

An optimized crystal structure of SmGeB (PBE, the Open Quantum Materials Database).

abc: 6.4679 6.4679 6.4679
angles: 90.00 90.00 90.00
Closest atoms and distances in Å follow each position.
Space group F-43m (No. 216)
Symmetry-distinct sites (fractional):
Sm 0.0000 0.0000 0.0000  4 B 2.80, 4 Ge 2.80
Ge 0.2500 0.2500 0.2500  4 Sm 2.80
B 0.2500 0.2500 0.7500  4 Sm 2.80

Calculated values
Magnetic moment, μB per atom: 0.00
Total energy, eV per atom: -4.632


Q: Among the records above, which one has the lowest total energy?
A: PrNdIr2C2N2